Crystalline Nd6Sm8Y at its relaxed geometry, computed with PBE.

Lattice parameters (Å, degrees): 9.553 9.553 6.661 90.00 90.00 120.00
Positions (direct):
Nd1 0.084 0.652 0.162
Nd2 0.348 0.433 0.162
Nd3 0.433 0.084 0.838
Nd4 0.567 0.916 0.162
Nd5 0.652 0.567 0.838
Nd6 0.916 0.348 0.838
Sm1 0.029 0.748 0.664
Sm2 0.252 0.281 0.664
Sm3 0.281 0.029 0.336
Sm4 0.333 0.667 0.613
Sm5 0.667 0.333 0.387
Sm6 0.719 0.971 0.664
Sm7 0.748 0.719 0.336
Sm8 0.971 0.252 0.336
Y1 0.000 0.000 0.000

crystal system = trigonal
spin magnetization = 0.000 μB per atom

***

Crystalline Li3LaCu at its relaxed geometry, computed with PBE.

Lattice parameters (Å, degrees): 5.637 5.637 5.637 90.00 90.00 90.00
Positions (direct):
Li1 0.000 0.000 0.500
Li2 0.000 0.500 0.000
Li3 0.500 0.000 0.000
La1 0.000 0.000 0.000
Cu1 0.500 0.500 0.500

crystal system = cubic
spin magnetization = 0.000 μB per atom

***

The records above give, respectively, uncorrected energy values of -4.691, -1.492 eV per atom.
The records above give, respectively, energy above the lowest structure with this stoichiometry values of 49, 1262 meV per atom.